Entry 1:
The following is a DFT calculation (PBE-GGA) of Ca2HgAs after structural relaxation.

Values from the calculation:
distance to the lowest polymorph of the same formula: 37.8 kJ/mol of atoms
ΔH_f (0 K): -0.4496 eV per atom
space group: R3m
E_tot: -10.75 eV per cell
Fermi-level density of states: 2.68 states/eV/f.u.

The structure in POSCAR format:
```
Ca2HgAs
1.0
8.216 -0.007 -0.004
7.025 4.260 -0.004
7.025 1.961 3.782
As Ca Hg
1 2 1
Cartesian
16.945 4.729 2.872
0.795 0.222 0.135
4.874 1.360 0.826
10.785 3.010 1.828
```



Entry 2:
The following is a DFT calculation (PBE-GGA) of CaInHgAs after structural relaxation.

Values from the calculation:
ΔH_f (0 K): -0.3973 eV per atom
space group: F-43m
E_tot: -11.28 eV per cell
Fermi-level density of states: 1.33 states/eV/f.u.

The structure in POSCAR format:
```
CaInHgAs
1.0
-2.968 1.151 -4.185
0.967 -2.309 -4.624
-3.354 -3.572 -1.907
As Ca Hg In
1 1 1 1
Cartesian
-4.016 -3.547 -8.037
0.000 0.000 0.000
-1.339 -1.182 -2.679
-2.677 -2.365 -5.358
```



Entry 3:
The following is a DFT calculation (PBE-GGA) of KCaHgAs after structural relaxation.

Values from the calculation:
ΔH_f (0 K): -0.5456 eV per atom
space group: F-43m
E_tot: -10.23 eV per cell

The structure in POSCAR format:
```
KCaHgAs
1.0
5.411 0.000 0.000
2.706 4.686 0.000
2.706 1.562 4.418
K As Ca Hg
1 1 1 1
Cartesian
8.117 4.686 3.314
0.000 0.000 0.000
2.706 1.562 1.105
5.411 3.124 2.209
```



Entry 4:
The following is a DFT calculation (PBE-GGA) of LiCa2HgAs after structural relaxation.

Values from the calculation:
ΔH_f (0 K): -0.5700 eV per atom
space group: P4/mmm
E_tot: -13.72 eV per cell
Fermi-level density of states: 3.52 states/eV/f.u.

The structure in POSCAR format:
```
LiCa2HgAs
1.0
-4.932 2.651 -0.611
-2.611 -4.258 2.605
0.650 2.181 4.217
As Ca Hg Li
1 2 1 1
Cartesian
0.000 0.000 0.000
-1.305 -2.129 1.302
-2.466 1.326 -0.305
-3.447 0.287 3.106
0.325 1.091 2.109
```



Entry 5:
The following is a DFT calculation (PBE-GGA) of CaMgHgAs after structural relaxation.

Values from the calculation:
ΔH_f (0 K): -0.5077 eV per atom
space group: F-43m
E_tot: -10.58 eV per cell
Fermi-level density of states: 2.15 states/eV/f.u.

The structure in POSCAR format:
```
CaMgHgAs
1.0
5.129 0.000 0.000
2.565 4.442 0.000
2.565 1.481 4.188
Mg As Ca Hg
1 1 1 1
Cartesian
2.565 1.481 1.047
0.000 0.000 0.000
7.694 4.442 3.141
5.129 2.961 2.094
```



Entry 6:
The following is a DFT calculation (PBE-GGA) of Ca4HgAsN after structural relaxation.

Values from the calculation:
space group: Cmcm
E_tot: -53.57 eV per cell
raw formation energy: -0.786 eV per atom
Fermi-level density of states: 4.19 states/eV/f.u.

The structure in POSCAR format:
```
Ca4HgAsN
1.0
6.788 0.000 0.000
0.000 6.863 0.000
-3.394 0.000 7.576
Ca Hg As N
8 2 2 2
Cartesian
3.394 1.716 6.123
0.000 5.147 6.352
0.000 5.147 1.453
3.394 1.716 1.224
1.697 3.431 3.788
-1.697 0.000 3.788
1.697 0.000 3.788
-1.697 3.431 3.788
0.000 1.716 1.586
3.394 5.147 5.990
3.394 5.147 1.820
0.000 1.716 5.756
0.000 5.147 3.845
3.394 1.716 3.731
```